(1)
! AcDy12Ho3 | the Alexandria database | PBE-GGA | optimized geometry; values from VASP
! ΔE_f: 0.032 eV per atom
! uncorrected energy: -72.562 eV per cell
! density: 8.66 g/cm3
! magnetization: 0.000 μB/atom
&SYSTEM
  ibrav = 0, nat = 16, ntyp = 3
/
ATOMIC_SPECIES
Ac 227.00 Ac.upf
Dy 162.50 Dy.upf
Ho 164.93 Ho.upf
ATOMIC_POSITIONS angstrom
Ac 0.0000 0.0000 0.0000
Dy 0.0000 2.5196 2.6477
Dy 0.0000 2.5196 7.6049
Dy 0.0000 2.5196 12.5704
Dy 0.0000 2.5196 17.5276
Dy 2.5196 0.0000 2.6477
Dy 2.5196 0.0000 7.6049
Dy 2.5196 0.0000 12.5704
Dy 2.5196 0.0000 17.5276
Dy 2.5196 2.5196 0.0000
Dy 2.5196 2.5196 5.1358
Dy 2.5196 2.5196 10.0876
Dy 2.5196 2.5196 15.0395
Ho 0.0000 0.0000 5.1080
Ho 0.0000 0.0000 10.0876
Ho 0.0000 0.0000 15.0672
CELL_PARAMETERS angstrom
5.0392 0.0000 0.0000
0.0000 5.0392 0.0000
0.0000 0.0000 20.1753

---

(2)
! AcDy3Ho3 | the Alexandria database | PBE-GGA | optimized geometry; values from VASP
! ΔE_f: 0.133 eV per atom
! uncorrected energy: -122.878 eV per cell
! density: 8.45 g/cm3
! magnetization: 0.000 μB/atom
&SYSTEM
  ibrav = 0, nat = 28, ntyp = 3
/
ATOMIC_SPECIES
Ac 227.00 Ac.upf
Dy 162.50 Dy.upf
Ho 164.93 Ho.upf
ATOMIC_POSITIONS angstrom
Ac 0.0000 0.0000 0.0000
Ac 1.1211 1.0060 3.9530
Ac 2.0531 8.7235 1.6810
Ac 6.6185 3.8676 6.0557
Dy 1.1954 4.0293 9.1579
Dy 1.2392 7.0577 4.9844
Dy 1.9701 2.9583 0.6142
Dy 3.0249 6.8184 8.0164
Dy 3.0706 9.6576 6.1798
Dy 4.6985 6.8054 10.9738
Dy 4.7855 9.7211 9.3777
Dy 4.7083 0.9167 5.7729
Dy 4.5158 2.1768 3.0229
Dy 5.5815 8.0223 0.9075
Dy 6.4744 1.1027 8.5652
Dy 6.9406 4.9188 2.7439
Ho 1.3472 6.7523 11.1851
Ho 1.2581 9.5544 9.5069
Ho 2.7490 1.0910 8.3806
Ho 3.0334 4.0104 5.7923
Ho 3.3612 5.4387 2.5102
Ho 4.6335 1.1002 11.6330
Ho 4.6662 3.9192 9.1018
Ho 4.9243 7.0116 5.0421
Ho 5.4042 10.0974 3.3313
Ho 5.5327 3.1754 0.2694
Ho 6.5695 6.8415 8.1924
Ho 6.7156 9.7347 6.4575
CELL_PARAMETERS angstrom
7.1428 0.0000 0.0000
0.1184 11.3782 0.0000
0.9537 1.0335 11.6908

---

(3)
! AcDy4Ho7 | the Alexandria database | PBE-GGA | optimized geometry; values from VASP
! ΔE_f: 0.315 eV per atom
! uncorrected energy: -50.785 eV per cell
! density: 8.37 g/cm3
! magnetization: 0.000 μB/atom
&SYSTEM
  ibrav = 0, nat = 12, ntyp = 3
/
ATOMIC_SPECIES
Ac 227.00 Ac.upf
Dy 162.50 Dy.upf
Ho 164.93 Ho.upf
ATOMIC_POSITIONS angstrom
Ac 0.0000 0.0000 0.0000
Dy -0.9403 0.0000 7.5242
Dy 3.2323 0.0000 2.4668
Dy 2.9719 0.0000 8.5026
Dy 7.1446 0.0000 3.4452
Ho -1.4756 0.0000 3.8145
Ho -2.8942 0.0000 10.0854
Ho 1.4988 0.0000 5.3750
Ho 6.1130 0.0000 0.0000
Ho 4.7054 0.0000 5.5944
Ho 9.0984 0.0000 0.8840
Ho 7.6799 0.0000 7.1549
CELL_PARAMETERS angstrom
6.1130 -3.0067 0.0000
6.1130 3.0067 0.0000
-6.0217 0.0000 10.9694

---

(4)
! AcDy4Ho7 | the Alexandria database | PBE-GGA | optimized geometry; values from VASP
! ΔE_f: 0.015 eV per atom
! uncorrected energy: -54.379 eV per cell
! density: 8.74 g/cm3
! magnetization: 0.000 μB/atom
&SYSTEM
  ibrav = 0, nat = 12, ntyp = 3
/
ATOMIC_SPECIES
Ac 227.00 Ac.upf
Dy 162.50 Dy.upf
Ho 164.93 Ho.upf
ATOMIC_POSITIONS angstrom
Ac 0.0000 0.0000 0.0000
Dy 2.0832 3.6037 2.8832
Dy 3.1432 1.8257 5.7089
Dy 5.1937 5.3790 2.9029
Dy 6.2537 3.6010 5.7286
Ho 0.0063 3.6009 0.0000
Ho 2.1024 0.0042 2.9144
Ho 3.1468 5.3746 5.7121
Ho 3.1141 1.8327 0.0008
Ho 5.2229 5.3719 8.6110
Ho 5.1901 1.8300 2.8997
Ho 6.2345 7.2004 5.6973
CELL_PARAMETERS angstrom
6.2226 0.0000 0.0000
0.0125 7.2018 0.0000
2.1018 0.0028 8.6118

---

(5)
! AcDyHo2 | the Alexandria database | PBE-GGA | optimized geometry; values from VASP
! ΔE_f: 0.063 eV per atom
! uncorrected energy: -17.614 eV per cell
! density: 8.74 g/cm3
! magnetization: 0.000 μB/atom
&SYSTEM
  ibrav = 0, nat = 4, ntyp = 3
/
ATOMIC_SPECIES
Ac 227.00 Ac.upf
Dy 162.50 Dy.upf
Ho 164.93 Ho.upf
ATOMIC_POSITIONS angstrom
Ac 0.0000 0.0000 0.0000
Dy 2.5807 2.5807 0.0000
Ho 0.0000 2.5807 2.5662
Ho 2.5807 0.0000 2.5662
CELL_PARAMETERS angstrom
5.1614 0.0000 0.0000
0.0000 5.1614 0.0000
0.0000 0.0000 5.1324

---

(6)
! AcDy8Ho6 | the Alexandria database | PBE-GGA | optimized geometry; values from VASP
! ΔE_f: 0.151 eV per atom
! uncorrected energy: -66.121 eV per cell
! density: 8.58 g/cm3
! magnetization: 0.000 μB/atom
&SYSTEM
  ibrav = 0, nat = 15, ntyp = 3
/
ATOMIC_SPECIES
Ac 227.00 Ac.upf
Dy 162.50 Dy.upf
Ho 164.93 Ho.upf
ATOMIC_POSITIONS angstrom
Ac 0.0000 0.0000 0.0000
Dy -2.7363 -1.7109 10.8890
Dy -2.8499 1.5143 9.8684
Dy 0.1135 -3.2252 9.8684
Dy 0.0000 0.0000 8.7810
Dy 0.0000 0.0000 11.9764
Dy -0.1135 3.2252 10.8890
Dy 2.8499 -1.5143 10.8890
Dy 2.7363 1.7109 9.8685
Ho -1.9408 0.3892 6.0610
Ho 0.6333 -1.8754 6.0610
Ho -1.3075 -1.4862 14.6965
Ho 1.3075 1.4862 6.0610
Ho -0.6333 1.8754 14.6965
Ho 1.9408 -0.3892 14.6965
CELL_PARAMETERS angstrom
4.5077 2.6025 6.9191
-4.5077 2.6025 6.9191
0.0000 -5.2050 6.9191

---

(7)
! Ac2Dy5Ho2 | the Alexandria database | PBE-GGA | optimized geometry; values from VASP
! ΔE_f: 0.209 eV per atom
! uncorrected energy: -38.502 eV per cell
! density: 8.19 g/cm3
! magnetization: 0.000 μB/atom
&SYSTEM
  ibrav = 0, nat = 9, ntyp = 3
/
ATOMIC_SPECIES
Ac 227.00 Ac.upf
Dy 162.50 Dy.upf
Ho 164.93 Ho.upf
ATOMIC_POSITIONS angstrom
Ac 3.7810 0.0000 1.1017
Ac 16.9582 0.0000 7.0735
Dy 0.0000 0.0000 0.0000
Dy 1.0857 0.0000 5.8720
Dy 6.2289 0.0000 3.8130
Dy 14.5102 0.0000 4.3622
Dy 19.6535 0.0000 2.3032
Ho 9.1452 0.0000 5.2929
Ho 11.5940 0.0000 2.8823
CELL_PARAMETERS angstrom
10.9989 -1.8008 0.0000
10.9989 1.8008 0.0000
-1.2586 0.0000 8.1752

---

(8)
! AcDy8Ho6 | the Alexandria database | PBE-GGA | optimized geometry; values from VASP
! ΔE_f: 0.228 eV per atom
! uncorrected energy: -64.968 eV per cell
! density: 8.60 g/cm3
! magnetization: 0.000 μB/atom
&SYSTEM
  ibrav = 0, nat = 15, ntyp = 3
/
ATOMIC_SPECIES
Ac 227.00 Ac.upf
Dy 162.50 Dy.upf
Ho 164.93 Ho.upf
ATOMIC_POSITIONS angstrom
Ac 0.0000 0.0000 0.0000
Dy -1.6011 -3.5465 7.8499
Dy -3.8719 -0.3866 10.2415
Dy 0.0000 0.0000 4.3055
Dy -2.2708 3.1599 7.8499
Dy 2.2708 -3.1599 10.2415
Dy 0.0000 0.0000 13.7859
Dy 3.8719 0.3866 7.8499
Dy 1.6011 3.5465 10.2415
Ho -2.1380 -0.2122 7.3751
Ho -0.8853 -1.9576 10.7163
Ho 1.2527 -1.7455 7.3751
Ho -1.2527 1.7455 10.7163
Ho 0.8853 1.9576 7.3751
Ho 2.1380 0.2122 10.7163
CELL_PARAMETERS angstrom
4.8224 2.7842 6.0305
-4.8224 2.7842 6.0305
0.0000 -5.5685 6.0305